Entry 1:
A relaxed Sm5Y6 crystal, computed with GGA-PBE.

Calculated values
The space group is C2/m. The value obtained for the formation energy is 1.5 eV/f.u. As for the theoretical density: 5.79 g/cm3.

a = 9.2028 Å, b = 7.9871 Å, c = 6.4288 Å
α = 80.11°, β = 72.65°, γ = 54.82°
Closest atoms and distances in Å follow each position.
Fractional positions:
Sm (0.5000, 0.0000, 0.5000)  6 Sm 3.39-3.62, 6 Y 3.53-3.63
Sm (0.3718, 0.2563, 0.0000)  5 Sm 3.35-3.65, 6 Y 3.45-3.55
Sm (0.6282, 0.7437, 0.0000)  5 Sm 3.35-3.65, 6 Y 3.45-3.55
Sm (0.2402, 0.5197, 0.5000)  6 Y 3.35-3.54, 3 Sm 3.39-3.65
Sm (0.7598, 0.4803, 0.5000)  6 Y 3.35-3.54, 3 Sm 3.39-3.65
Y (0.8351, 0.0000, 0.6885)  3 Y 3.27-3.52, 5 Sm 3.54-3.63
Y (0.1649, 0.0000, 0.3115)  3 Y 3.27-3.52, 5 Sm 3.54-3.63
Y (0.3104, 0.7356, 0.8287)  5 Sm 3.35-3.55, 3 Y 3.36-3.52
Y (0.9540, 0.7356, 0.1713)  5 Sm 3.35-3.55, 3 Y 3.36-3.52
Y (0.6896, 0.2644, 0.1713)  5 Sm 3.35-3.55, 3 Y 3.36-3.52
Y (0.0460, 0.2644, 0.8287)  5 Sm 3.35-3.55, 3 Y 3.36-3.52


Entry 2:
A relaxed SmY3 crystal, computed with GGA-PBE.

Calculated values
The space group is I4/mmm. The value obtained for the formation energy is 0.1 eV/f.u. As for the theoretical density: 5.32 g/cm3.

a = 6.2098 Å, b = 6.2098 Å, c = 6.2098 Å
α = 131.82°, β = 131.82°, γ = 70.51°
Closest atoms and distances in Å follow each position.
Fractional positions:
Y (0.7500, 0.2500, 0.5000)  8 Y 3.58, 4 Sm 3.58
Y (0.2500, 0.7500, 0.5000)  8 Y 3.58, 4 Sm 3.58
Y (0.5000, 0.5000, 0.0000)  4 Sm 3.58, 8 Y 3.58
Sm (0.0000, 0.0000, 0.0000)  12 Y 3.58


Entry 3:
A relaxed Sm3Y8 crystal, computed with GGA-PBE.

Calculated values
The space group is R-3. The value obtained for the formation energy is 6.1 eV/f.u. As for the theoretical density: 5.27 g/cm3.

a = 7.1749 Å, b = 7.1749 Å, c = 7.1749 Å
α = 85.79°, β = 85.79°, γ = 85.79°
Closest atoms and distances in Å follow each position.
Fractional positions:
Sm (0.5000, 0.0000, 0.5000)  4 Y 2.88-3.18
Sm (0.0000, 0.5000, 0.5000)  4 Y 2.88-3.18
Sm (0.5000, 0.5000, 0.0000)  4 Y 2.88-3.18
Y (0.8861, 0.3036, 0.1461)  2 Sm 3.18-3.22
Y (0.3036, 0.1461, 0.8861)  2 Sm 3.18-3.22
Y (0.1461, 0.8861, 0.3036)  2 Sm 3.18-3.22
Y (0.3763, 0.3763, 0.3763)  3 Sm 2.88
Y (0.6237, 0.6237, 0.6237)  3 Sm 2.88
Y (0.8539, 0.1139, 0.6964)  2 Sm 3.18-3.22
Y (0.6964, 0.8539, 0.1139)  2 Sm 3.18-3.22
Y (0.1139, 0.6964, 0.8539)  2 Sm 3.18-3.22


Entry 4:
A relaxed Sm2Y crystal, computed with GGA-PBE.

Calculated values
The space group is I4_1/amd. The value obtained for the formation energy is 0.4 eV/f.u. As for the theoretical density: 6.35 g/cm3.

a = 3.5007 Å, b = 3.5007 Å, c = 16.8229 Å
α = 95.97°, β = 95.97°, γ = 90.00°
Closest atoms and distances in Å follow each position.
Fractional positions:
Sm (0.5784, 0.5784, 0.1568)  6 Sm 3.50-3.56, 4 Y 3.60
Sm (0.6716, 0.1716, 0.3432)  6 Sm 3.50-3.56, 4 Y 3.60
Sm (0.4216, 0.4216, 0.8432)  6 Sm 3.50-3.56, 4 Y 3.60
Sm (0.8284, 0.3284, 0.6568)  6 Sm 3.50-3.56, 4 Y 3.60
Y (0.0000, 0.0000, 0.0000)  4 Y 3.50, 8 Sm 3.60
Y (0.2500, 0.7500, 0.5000)  4 Y 3.50, 8 Sm 3.60


Entry 5:
A relaxed Sm3Y13 crystal, computed with GGA-PBE.

Calculated values
The space group is Amm2. The value obtained for the formation energy is 0.3 eV/f.u. As for the theoretical density: 5.14 g/cm3.

a = 7.1665 Å, b = 7.1665 Å, c = 10.1070 Å
α = 90.00°, β = 90.00°, γ = 90.04°
Closest atoms and distances in Å follow each position.
Fractional positions:
Sm (0.0000, 0.0000, 0.2497)  1 Sm 3.58, 11 Y 3.58
Sm (0.7499, 0.2501, 0.0000)  2 Sm 3.58, 10 Y 3.58-3.59
Sm (0.0000, 0.0000, 0.7503)  1 Sm 3.58, 11 Y 3.58
Y (0.4998, 0.9999, 0.2503)  9 Y 3.57-3.59, 3 Sm 3.58
Y (0.4998, 0.5002, 0.2507)  11 Y 3.57-3.59, 1 Sm 3.58
Y (0.0001, 0.5002, 0.2503)  9 Y 3.57-3.59, 3 Sm 3.58
Y (0.7493, 0.7494, 0.0000)  8 Y 3.58-3.59, 4 Sm 3.58-3.59
Y (0.2506, 0.2507, 0.0000)  8 Y 3.58-3.59, 4 Sm 3.58-3.59
Y (0.2504, 0.7496, 0.0000)  10 Y 3.58-3.59, 2 Sm 3.58
Y (0.4998, 0.9999, 0.7497)  9 Y 3.57-3.59, 3 Sm 3.58
Y (0.4998, 0.5002, 0.7493)  11 Y 3.57-3.59, 1 Sm 3.58
Y (0.0001, 0.5002, 0.7497)  9 Y 3.57-3.59, 3 Sm 3.58
Y (0.7498, 0.2502, 0.5000)  10 Y 3.57-3.59, 2 Sm 3.58
Y (0.7501, 0.7498, 0.5000)  10 Y 3.57-3.59, 2 Sm 3.58
Y (0.2502, 0.2499, 0.5000)  10 Y 3.57-3.59, 2 Sm 3.58
Y (0.2504, 0.7496, 0.5000)  10 Y 3.57-3.59, 2 Sm 3.58


Entry 6:
A relaxed SmY2 crystal, computed with GGA-PBE.

Calculated values
The space group is I4/mmm. The value obtained for the formation energy is 0.1 eV/f.u. As for the theoretical density: 5.55 g/cm3.

a = 3.5879 Å, b = 3.5879 Å, c = 8.0389 Å
α = 102.89°, β = 102.89°, γ = 90.00°
Closest atoms and distances in Å follow each position.
Fractional positions:
Y (0.6668, 0.6668, 0.3336)  8 Y 3.59, 4 Sm 3.59
Y (0.3332, 0.3332, 0.6664)  8 Y 3.59, 4 Sm 3.59
Sm (0.0000, 0.0000, 0.0000)  4 Sm 3.59, 8 Y 3.59


Entry 7:
A relaxed Sm8Y crystal, computed with GGA-PBE.

Calculated values
The space group is I4/mmm. The value obtained for the formation energy is 0.1 eV/f.u. As for the theoretical density: 7.09 g/cm3.

a = 5.1222 Å, b = 8.1020 Å, c = 8.1020 Å
α = 84.27°, β = 71.57°, γ = 71.57°
Closest atoms and distances in Å follow each position.
Fractional positions:
Sm (0.3333, 0.0000, 0.3334)  10 Sm 3.62, 2 Y 3.62
Sm (0.6667, 0.0000, 0.6666)  10 Sm 3.62, 2 Y 3.62
Sm (0.6667, 0.6666, 0.0000)  10 Sm 3.62, 2 Y 3.62
Sm (0.0000, 0.6668, 0.3332)  1 Y 3.62, 11 Sm 3.62-3.63
Sm (0.3332, 0.6668, 0.6668)  1 Y 3.62, 11 Sm 3.62-3.63
Sm (0.6668, 0.3332, 0.3332)  1 Y 3.62, 11 Sm 3.62-3.63
Sm (0.0000, 0.3332, 0.6668)  1 Y 3.62, 11 Sm 3.62-3.63
Sm (0.3333, 0.3334, 0.0000)  10 Sm 3.62, 2 Y 3.62
Y (0.0000, 0.0000, 0.0000)  12 Sm 3.62


Entry 8:
A relaxed Sm2Y crystal, computed with GGA-PBE.

Calculated values
The space group is Imma. The value obtained for the formation energy is 0.2 eV/f.u. As for the theoretical density: 6.49 g/cm3.

a = 9.8166 Å, b = 5.7009 Å, c = 9.1050 Å
α = 71.78°, β = 122.62°, γ = 90.00°
Closest atoms and distances in Å follow each position.
Fractional positions:
Sm (0.6997, 0.6257, 0.2472)  5 Sm 3.22-3.56
Sm (0.7839, 0.8767, 0.7469)  5 Sm 3.28-3.60
Sm (0.2161, 0.1233, 0.2531)  5 Sm 3.28-3.60
Sm (0.0370, 0.6233, 0.2531)  5 Sm 3.28-3.60
Sm (0.9630, 0.3767, 0.7469)  5 Sm 3.28-3.60
Sm (0.5475, 0.1257, 0.2472)  5 Sm 3.22-3.56
Sm (0.4525, 0.8743, 0.7528)  5 Sm 3.22-3.56
Sm (0.3003, 0.3743, 0.7528)  5 Sm 3.22-3.56
Y (0.7551, 0.2500, 0.0000)  2 Y 3.56, 12 Sm 3.70-3.79
Y (0.2449, 0.7500, 0.0000)  2 Y 3.56, 12 Sm 3.70-3.79
Y (0.5000, 0.5000, 0.5000)  2 Y 3.56, 12 Sm 3.67-3.78
Y (0.0000, 0.0000, 0.5000)  2 Y 3.56, 12 Sm 3.67-3.78


Entry 9:
A relaxed Sm2Y crystal, computed with GGA-PBE.

Calculated values
The space group is I4/mmm. The value obtained for the formation energy is 0.1 eV/f.u. As for the theoretical density: 6.48 g/cm3.

a = 3.6088 Å, b = 3.6088 Å, c = 8.0794 Å
α = 102.90°, β = 102.90°, γ = 90.00°
Closest atoms and distances in Å follow each position.
Fractional positions:
Y (0.0000, 0.0000, 0.0000)  8 Sm 3.61, 4 Y 3.61
Sm (0.6664, 0.6664, 0.3328)  4 Y 3.61, 8 Sm 3.61-3.62
Sm (0.3336, 0.3336, 0.6672)  4 Y 3.61, 8 Sm 3.61-3.62


Entry 10:
A relaxed SmY4 crystal, computed with GGA-PBE.

Calculated values
The space group is Cmmm. The value obtained for the formation energy is 0.2 eV/f.u. As for the theoretical density: 5.15 g/cm3.

a = 7.0807 Å, b = 6.5204 Å, c = 9.5320 Å
α = 63.72°, β = 68.20°, γ = 57.11°
Closest atoms and distances in Å follow each position.
Fractional positions:
Sm (0.7499, 0.0000, 0.0000)  10 Y 3.36-3.75, 2 Sm 3.54
Sm (0.2501, 0.0000, 0.0000)  10 Y 3.36-3.75, 2 Sm 3.54
Y (0.8049, 0.6095, 0.7807)  9 Y 3.54-3.69, 4 Sm 3.75
Y (0.3046, 0.6099, 0.7809)  9 Y 3.54-3.69, 4 Sm 3.74-3.75
Y (0.8498, 0.1999, 0.6004)  8 Y 3.22-3.60, 1 Sm 3.36
Y (0.3499, 0.1999, 0.6004)  8 Y 3.22-3.60, 1 Sm 3.36
Y (0.6501, 0.8001, 0.3996)  8 Y 3.22-3.60, 1 Sm 3.36
Y (0.1502, 0.8001, 0.3996)  8 Y 3.22-3.60, 1 Sm 3.36
Y (0.6954, 0.3901, 0.2191)  9 Y 3.54-3.69, 4 Sm 3.74-3.75
Y (0.1951, 0.3905, 0.2193)  9 Y 3.54-3.69, 4 Sm 3.75


Copy entry 9 word for word.
A relaxed Sm2Y crystal, computed with GGA-PBE.

Calculated values
The space group is I4/mmm. The value obtained for the formation energy is 0.1 eV/f.u. As for the theoretical density: 6.48 g/cm3.

a = 3.6088 Å, b = 3.6088 Å, c = 8.0794 Å
α = 102.90°, β = 102.90°, γ = 90.00°
Closest atoms and distances in Å follow each position.
Fractional positions:
Y (0.0000, 0.0000, 0.0000)  8 Sm 3.61, 4 Y 3.61
Sm (0.6664, 0.6664, 0.3328)  4 Y 3.61, 8 Sm 3.61-3.62
Sm (0.3336, 0.3336, 0.6672)  4 Y 3.61, 8 Sm 3.61-3.62